First-principles (GGA-PBE) data for an optimized crystal structure of Pm2Nd3Dy7, as listed in Alexandria.

Cell and atoms, written as POSCAR:
```
Pm2Nd3Dy7
1.0
-2.201 0.650 2.770
-4.623 -1.279 -3.374
5.007 -17.074 7.987
Pm Nd Dy
2 3 7
Direct
0.500 0.582 0.293
0.500 0.418 0.707
0.500 0.500 0.000
0.000 0.145 0.368
0.000 0.855 0.632
0.500 0.719 0.462
0.500 0.281 0.538
0.000 0.454 0.143
0.000 0.000 0.000
0.000 0.546 0.857
0.500 0.018 0.827
0.500 0.982 0.173
```

Output
Energy of formation   0.0833 eV/atom
E_tot   -4.585 eV per atom
Excess energy over the best structure of this formula in the dataset   0.0 meV per atom

---

First-principles (GGA-PBE) data for an optimized crystal structure of Pm6NdDy12, as listed in Alexandria.

Cell and atoms, written as POSCAR:
```
Pm6NdDy12
1.0
-1.899 3.732 7.497
7.898 -1.966 2.738
2.754 7.454 -3.254
Pm Nd Dy
6 1 12
Direct
0.725 0.864 0.255
0.745 0.275 0.136
0.136 0.745 0.275
0.275 0.136 0.745
0.255 0.725 0.864
0.864 0.255 0.725
0.000 0.000 0.000
0.792 0.527 0.467
0.467 0.792 0.527
0.527 0.467 0.792
0.208 0.473 0.533
0.533 0.208 0.473
0.473 0.533 0.208
0.068 0.142 0.381
0.858 0.619 0.932
0.619 0.932 0.858
0.932 0.858 0.619
0.142 0.381 0.068
0.381 0.068 0.142
```

Output
Energy of formation   0.1791 eV/atom
E_tot   -4.479 eV per atom
Excess energy over the best structure of this formula in the dataset   0.0 meV per atom

---

First-principles (GGA-PBE) data for an optimized crystal structure of Pm3Nd8Dy4, as listed in Alexandria.

Cell and atoms, written as POSCAR:
```
Pm3Nd8Dy4
1.0
6.932 -0.101 -0.145
-3.349 8.585 1.598
-3.349 -1.482 8.606
Pm Nd Dy
3 8 4
Direct
0.500 0.500 0.000
0.500 0.000 0.500
0.500 0.500 0.500
0.784 0.295 0.295
0.000 0.705 0.295
0.230 0.247 0.247
0.500 0.753 0.247
0.500 0.247 0.753
0.770 0.753 0.753
0.000 0.295 0.705
0.216 0.705 0.705
0.500 0.000 0.000
0.000 0.500 0.000
0.000 0.000 0.000
0.000 0.000 0.500
```

Output
Energy of formation   0.3247 eV/atom
E_tot   -4.395 eV per atom

---

First-principles (GGA-PBE) data for an optimized crystal structure of PmNd4Dy, as listed in Alexandria.

Cell and atoms, written as POSCAR:
```
PmNd4Dy
1.0
7.000 -0.409 0.000
-3.006 6.335 0.000
0.000 0.000 9.769
Pm Nd Dy
2 8 2
Direct
0.184 0.816 0.750
0.816 0.184 0.250
0.679 0.321 0.926
0.321 0.679 0.426
0.321 0.679 0.074
0.679 0.321 0.574
0.361 0.203 0.250
0.639 0.797 0.750
0.203 0.361 0.750
0.797 0.639 0.250
0.000 0.000 0.000
0.000 0.000 0.500
```

Output
Energy of formation   0.2245 eV/atom
E_tot   -4.513 eV per atom
Excess energy over the best structure of this formula in the dataset   209.2 meV per atom

---

First-principles (GGA-PBE) data for an optimized crystal structure of Pm6Nd12Dy, as listed in Alexandria.

Cell and atoms, written as POSCAR:
```
Pm6Nd12Dy
1.0
-2.448 9.653 -0.157
-0.618 -4.158 -9.029
-5.210 -5.066 6.811
Pm Nd Dy
6 12 1
Direct
0.730 0.480 0.730
0.730 0.730 0.480
0.480 0.730 0.730
0.270 0.270 0.520
0.270 0.520 0.270
0.520 0.270 0.270
0.881 0.119 0.500
0.272 0.911 0.272
0.272 0.272 0.911
0.089 0.728 0.728
0.728 0.728 0.089
0.728 0.089 0.728
0.500 0.881 0.119
0.119 0.500 0.881
0.119 0.881 0.500
0.500 0.119 0.881
0.881 0.500 0.119
0.911 0.272 0.272
0.000 0.000 0.000
```

Output
Energy of formation   0.3029 eV/atom
E_tot   -4.451 eV per atom
Excess energy over the best structure of this formula in the dataset   175.0 meV per atom

---

First-principles (GGA-PBE) data for an optimized crystal structure of PmNd5Dy4, as listed in Alexandria.

Cell and atoms, written as POSCAR:
```
PmNd5Dy4
1.0
3.554 -0.005 -0.728
-0.406 10.023 -2.081
0.110 -0.690 9.541
Pm Nd Dy
1 5 4
Direct
0.500 0.000 0.000
0.700 0.600 0.401
0.101 0.803 0.201
0.899 0.197 0.799
0.500 0.500 0.000
0.300 0.400 0.599
0.700 0.100 0.400
0.101 0.298 0.202
0.300 0.900 0.600
0.899 0.702 0.798
```

Output
Energy of formation   0.0144 eV/atom
E_tot   -4.685 eV per atom
Excess energy over the best structure of this formula in the dataset   0.0 meV per atom